Record 1
! PBE-GGA Li2TaRh, relaxed; values from VASP
! Excess energy over the best structure of this formula in the dataset in eV per formula unit: 0.02
&SYSTEM
  ibrav = 0, nat = 4, ntyp = 3
/
ATOMIC_SPECIES
Li 6.94 Li.upf
Rh 102.91 Rh.upf
Ta 180.95 Ta.upf
ATOMIC_POSITIONS crystal
Li 0.0000 0.0000 0.0000
Li 0.5000 0.5000 0.0000
Rh 0.5000 0.0000 0.5000
Ta 0.0000 0.5000 0.5000
CELL_PARAMETERS angstrom
-0.6001 3.4547 -0.9006
-3.1478 -0.0811 1.7862
2.1856 1.4004 3.9153

=====

Record 2
! PBE-GGA Li2TaRh, relaxed; values from VASP
! Excess energy over the best structure of this formula in the dataset in eV per formula unit: 0.11
&SYSTEM
  ibrav = 0, nat = 4, ntyp = 3
/
ATOMIC_SPECIES
Li 6.94 Li.upf
Rh 102.91 Rh.upf
Ta 180.95 Ta.upf
ATOMIC_POSITIONS crystal
Li 0.0000 0.0000 0.0000
Li 0.5000 0.5000 0.0000
Rh 0.2500 0.7500 0.5000
Ta 0.7500 0.2500 0.5000
CELL_PARAMETERS angstrom
-5.1072 1.5571 -0.3438
-3.2445 -1.5815 -3.9495
3.4631 -2.0170 3.5448

=====

Record 3
! PBE-GGA Li2TaRh, relaxed; values from VASP
! Excess energy over the best structure of this formula in the dataset in eV per formula unit: 1.54
&SYSTEM
  ibrav = 0, nat = 4, ntyp = 3
/
ATOMIC_SPECIES
Li 6.94 Li.upf
Rh 102.91 Rh.upf
Ta 180.95 Ta.upf
ATOMIC_POSITIONS crystal
Li 0.2500 0.2500 0.2500
Li 0.7500 0.7500 0.7500
Rh 0.0000 0.0000 0.0000
Ta 0.5000 0.5000 0.5000
CELL_PARAMETERS angstrom
-2.1974 -3.6054 0.3021
-4.1934 0.0224 -0.5774
-1.6681 -1.7590 -3.4701

=====

Record 4
Compound: LiTaV2Rh
Source: the Alexandria database
Functional: PBE-GGA
Structure: relaxed Values from VASP.

Quantum ESPRESSO input file:
```
&SYSTEM
  ibrav = 0, nat = 5, ntyp = 4
/
ATOMIC_SPECIES
V 50.94 V.upf
Rh 102.91 Rh.upf
Li 6.94 Li.upf
Ta 180.95 Ta.upf
ATOMIC_POSITIONS crystal
V 0.0000 0.0000 0.5000
V 0.5000 0.0000 0.0000
Rh 0.0000 0.0000 0.0000
Li 0.0000 0.5000 0.0000
Ta 0.5000 0.5000 0.5000
CELL_PARAMETERS angstrom
4.5578 0.0000 0.0000
0.0000 4.1449 0.0000
0.0000 0.0000 4.5578
```

=====

Record 5
Compound: Li2YTaRh
Source: the Alexandria database
Functional: PBE-GGA
Structure: relaxed Values from VASP.

Quantum ESPRESSO input file:
```
&SYSTEM
  ibrav = 0, nat = 5, ntyp = 4
/
ATOMIC_SPECIES
Y 88.91 Y.upf
Li 6.94 Li.upf
Rh 102.91 Rh.upf
Ta 180.95 Ta.upf
ATOMIC_POSITIONS crystal
Y 0.0000 0.5000 0.0000
Li 0.0000 0.0000 0.5000
Li 0.5000 0.0000 0.0000
Rh 0.5000 0.5000 0.5000
Ta 0.0000 0.0000 0.0000
CELL_PARAMETERS angstrom
-4.6618 -0.4493 -0.1936
0.2486 -0.2731 -5.3503
0.4383 -4.6597 0.2582
```

=====

Record 6
Compound: Li2Tb3Rh7
Source: the Alexandria database
Functional: PBE-GGA
Structure: relaxed Values from VASP.

Quantum ESPRESSO input file:
```
&SYSTEM
  ibrav = 0, nat = 12, ntyp = 3
/
ATOMIC_SPECIES
Li 6.94 Li.upf
Tb 158.93 Tb.upf
Rh 102.91 Rh.upf
ATOMIC_POSITIONS crystal
Li 0.6643 0.6643 0.0072
Li 0.3357 0.3357 0.9928
Tb 0.0000 0.0000 0.0000
Tb 0.8594 0.8594 0.4219
Tb 0.1406 0.1406 0.5781
Rh 0.5000 0.5000 0.5000
Rh 0.9227 0.4153 0.2466
Rh 0.4153 0.9227 0.2466
Rh 0.4153 0.4153 0.2466
Rh 0.0773 0.5847 0.7534
Rh 0.5847 0.5847 0.7534
Rh 0.5847 0.0773 0.7534
CELL_PARAMETERS angstrom
5.0915 0.0000 1.5936
2.2963 4.5442 1.5936
0.0124 0.0076 8.8908
```

=====

Record 7
Compound: LiTb5Rh4
Source: the Alexandria database
Functional: PBE-GGA
Structure: relaxed Values from VASP.

Quantum ESPRESSO input file:
```
&SYSTEM
  ibrav = 0, nat = 10, ntyp = 3
/
ATOMIC_SPECIES
Li 6.94 Li.upf
Tb 158.93 Tb.upf
Rh 102.91 Rh.upf
ATOMIC_POSITIONS crystal
Li 0.0000 0.0000 0.0000
Tb 0.5000 0.5000 0.1225
Tb 0.5000 0.5000 0.3098
Tb 0.5000 0.5000 0.5000
Tb 0.5000 0.5000 0.6902
Tb 0.5000 0.5000 0.8775
Rh 0.0000 0.0000 0.2097
Rh 0.0000 0.0000 0.4044
Rh 0.0000 0.0000 0.5956
Rh 0.0000 0.0000 0.7903
CELL_PARAMETERS angstrom
-2.9141 -0.9372 1.6355
1.8636 -0.9810 2.7586
-1.4610 16.5125 6.8589
```

=====

Record 8
Compound: Li3TbRh2
Source: the Alexandria database
Functional: PBE-GGA
Structure: relaxed Values from VASP.

Quantum ESPRESSO input file:
```
&SYSTEM
  ibrav = 0, nat = 12, ntyp = 3
/
ATOMIC_SPECIES
Li 6.94 Li.upf
Tb 158.93 Tb.upf
Rh 102.91 Rh.upf
ATOMIC_POSITIONS crystal
Li 0.2770 0.5541 0.4489
Li 0.9425 0.8850 0.6182
Li 0.5792 0.1584 0.6820
Li 0.4208 0.8416 0.3180
Li 0.0575 0.1150 0.3818
Li 0.7230 0.4459 0.5511
Tb 0.8583 0.7167 0.9796
Tb 0.1417 0.2833 0.0204
Rh 0.4311 0.8621 0.8195
Rh 0.5689 0.1379 0.1805
Rh 0.7900 0.5801 0.2604
Rh 0.2100 0.4199 0.7396
CELL_PARAMETERS angstrom
4.1638 0.0000 0.0000
-2.0819 5.8762 -2.9817
0.0000 -0.1157 8.2163
```

=====

Record 9
Compound: LiTbRh2
Source: the Alexandria database
Functional: PBE-GGA
Structure: relaxed Values from VASP.

Quantum ESPRESSO input file:
```
&SYSTEM
  ibrav = 0, nat = 4, ntyp = 3
/
ATOMIC_SPECIES
Rh 102.91 Rh.upf
Tb 158.93 Tb.upf
Li 6.94 Li.upf
ATOMIC_POSITIONS crystal
Rh 0.0000 0.0000 0.7759
Rh 0.0000 0.0000 0.2241
Tb 0.5000 0.5000 0.5000
Li 0.5000 0.5000 0.0000
CELL_PARAMETERS angstrom
3.2906 0.0000 0.0000
0.0000 3.2906 0.0000
0.0000 0.0000 6.1589
```

=====

Record 10
! PBE-GGA LiTb2Rh2, relaxed; values from VASP
! Excess energy over the best structure of this formula in the dataset in eV per formula unit: 0.16
&SYSTEM
  ibrav = 0, nat = 10, ntyp = 3
/
ATOMIC_SPECIES
Li 6.94 Li.upf
Tb 158.93 Tb.upf
Rh 102.91 Rh.upf
ATOMIC_POSITIONS crystal
Li 0.1410 0.8590 0.2500
Li 0.8590 0.1410 0.7500
Tb 0.5022 0.2033 0.1508
Tb 0.7967 0.4978 0.3492
Tb 0.4978 0.7967 0.8492
Tb 0.2033 0.5022 0.6508
Rh 0.7232 0.0151 0.5085
Rh 0.9849 0.2768 0.9915
Rh 0.2768 0.9849 0.4915
Rh 0.0151 0.7232 0.0085
CELL_PARAMETERS angstrom
0.1782 -1.6710 5.5100
1.1735 -5.3621 1.7479
7.4563 0.1232 1.8518

=====

Record 11
! PBE-GGA LiTb2Rh2, relaxed; values from VASP
! Excess energy over the best structure of this formula in the dataset in eV per formula unit: 0.00
&SYSTEM
  ibrav = 0, nat = 5, ntyp = 3
/
ATOMIC_SPECIES
Li 6.94 Li.upf
Tb 158.93 Tb.upf
Rh 102.91 Rh.upf
ATOMIC_POSITIONS crystal
Li 0.5000 0.5000 0.0000
Tb 0.7044 0.7956 0.2956
Tb 0.2956 0.2044 0.7044
Rh 0.0000 0.2323 0.2677
Rh 0.0000 0.7677 0.7323
CELL_PARAMETERS angstrom
3.7536 0.0000 1.5990
1.1984 4.7689 2.3921
-0.1104 -0.1778 5.4644

=====

Record 12
Compound: LiTb4Rh5
Source: the Alexandria database
Functional: PBE-GGA
Structure: relaxed Values from VASP.

Quantum ESPRESSO input file:
```
&SYSTEM
  ibrav = 0, nat = 10, ntyp = 3
/
ATOMIC_SPECIES
Li 6.94 Li.upf
Tb 158.93 Tb.upf
Rh 102.91 Rh.upf
ATOMIC_POSITIONS crystal
Li 0.0000 0.0000 0.0000
Tb 0.0000 0.0000 0.1794
Tb 0.0000 0.0000 0.3933
Tb 0.0000 0.0000 0.6067
Tb 0.0000 0.0000 0.8206
Rh 0.5000 0.5000 0.0851
Rh 0.5000 0.5000 0.2900
Rh 0.5000 0.5000 0.5000
Rh 0.5000 0.5000 0.7100
Rh 0.5000 0.5000 0.9149
CELL_PARAMETERS angstrom
3.4070 0.0000 0.0000
0.0000 3.4070 0.0000
0.0000 0.0000 16.3185
```

=====

Record 13
Compound: LiTb4Rh3
Source: the Alexandria database
Functional: PBE-GGA
Structure: relaxed Values from VASP.

Quantum ESPRESSO input file:
```
&SYSTEM
  ibrav = 0, nat = 8, ntyp = 3
/
ATOMIC_SPECIES
Rh 102.91 Rh.upf
Tb 158.93 Tb.upf
Li 6.94 Li.upf
ATOMIC_POSITIONS crystal
Rh 0.5000 0.0000 0.2468
Rh 0.5000 0.5000 0.5000
Rh 0.5000 0.0000 0.7532
Tb 0.0000 0.0000 0.5000
Tb 0.0000 0.5000 0.7396
Tb 0.0000 0.0000 0.0000
Tb 0.0000 0.5000 0.2604
Li 0.5000 0.5000 0.0000
CELL_PARAMETERS angstrom
3.5401 0.0000 0.0000
0.0000 4.8870 0.0000
0.0000 0.0000 9.7137
```

=====

Record 14
Compound: LiTbRh2
Source: the Alexandria database
Functional: PBE-GGA
Structure: relaxed Values from VASP.

Quantum ESPRESSO input file:
```
&SYSTEM
  ibrav = 0, nat = 4, ntyp = 3
/
ATOMIC_SPECIES
Rh 102.91 Rh.upf
Tb 158.93 Tb.upf
Li 6.94 Li.upf
ATOMIC_POSITIONS crystal
Rh 0.0000 0.0000 0.5000
Rh 0.0000 0.5000 0.0000
Tb 0.5000 0.5000 0.5000
Li 0.5000 0.0000 0.0000
CELL_PARAMETERS angstrom
-2.8167 -0.0850 2.5487
0.1874 -4.1872 0.0674
2.8072 0.1757 3.1082
```

=====

Record 15
Compound: LiTb4Rh
Source: the Alexandria database
Functional: PBE-GGA
Structure: relaxed Values from VASP.

Quantum ESPRESSO input file:
```
&SYSTEM
  ibrav = 0, nat = 12, ntyp = 3
/
ATOMIC_SPECIES
Li 6.94 Li.upf
Tb 158.93 Tb.upf
Rh 102.91 Rh.upf
ATOMIC_POSITIONS crystal
Li 0.1818 0.1818 0.0000
Li 0.9318 0.4318 0.5000
Tb 0.2619 0.9522 0.6904
Tb 0.7509 0.4908 0.7399
Tb 0.7022 0.5119 0.1904
Tb 0.2408 0.0009 0.2399
Tb 0.3215 0.5119 0.8096
Tb 0.7610 0.0009 0.7601
Tb 0.7509 0.0110 0.2601
Tb 0.2619 0.5715 0.3096
Rh 0.7927 0.7927 0.0000
Rh 0.5427 0.0427 0.5000
CELL_PARAMETERS angstrom
7.9455 -0.8377 0.0000
-3.9748 6.9306 0.0000
-1.9853 -3.0465 7.1141
```

=====

Record 16
Compound: LiTbTiRh
Source: the Alexandria database
Functional: PBE-GGA
Structure: relaxed Values from VASP.

Quantum ESPRESSO input file:
```
&SYSTEM
  ibrav = 0, nat = 4, ntyp = 4
/
ATOMIC_SPECIES
Rh 102.91 Rh.upf
Li 6.94 Li.upf
Tb 158.93 Tb.upf
Ti 47.87 Ti.upf
ATOMIC_POSITIONS crystal
Rh 0.0000 0.0000 0.0000
Li 0.5000 0.5000 0.5000
Tb 0.7500 0.7500 0.7500
Ti 0.2500 0.2500 0.2500
CELL_PARAMETERS angstrom
-0.4918 4.1601 -2.1088
0.5111 0.3474 -4.6490
-3.7343 0.8262 -2.7144
```

=====

Record 17
Compound: LiTbTmRh
Source: the Alexandria database
Functional: PBE-GGA
Structure: relaxed Values from VASP.

Quantum ESPRESSO input file:
```
&SYSTEM
  ibrav = 0, nat = 4, ntyp = 4
/
ATOMIC_SPECIES
Rh 102.91 Rh.upf
Tm 168.93 Tm.upf
Tb 158.93 Tb.upf
Li 6.94 Li.upf
ATOMIC_POSITIONS crystal
Rh 0.5000 0.5000 0.5000
Tm 0.2500 0.2500 0.2500
Tb 0.7500 0.7500 0.7500
Li 0.0000 0.0000 0.0000
CELL_PARAMETERS angstrom
-4.6015 1.3476 1.0486
-3.7773 -2.6087 -1.7366
-2.7170 -2.7162 3.0544
```

=====

Record 18
Compound: LiTbYRh
Source: the Alexandria database
Functional: PBE-GGA
Structure: relaxed Values from VASP.

Quantum ESPRESSO input file:
```
&SYSTEM
  ibrav = 0, nat = 4, ntyp = 4
/
ATOMIC_SPECIES
Y 88.91 Y.upf
Rh 102.91 Rh.upf
Tb 158.93 Tb.upf
Li 6.94 Li.upf
ATOMIC_POSITIONS crystal
Y 0.2500 0.2500 0.2500
Rh 0.0000 0.0000 0.0000
Tb 0.7500 0.7500 0.7500
Li 0.5000 0.5000 0.5000
CELL_PARAMETERS angstrom
-4.8869 -0.0038 0.7981
-2.1158 -3.7872 2.3874
-1.7605 0.6362 4.5842
```

=====

Record 19
Compound: LiTbZrRh
Source: the Alexandria database
Functional: PBE-GGA
Structure: relaxed Values from VASP.

Quantum ESPRESSO input file:
```
&SYSTEM
  ibrav = 0, nat = 4, ntyp = 4
/
ATOMIC_SPECIES
Rh 102.91 Rh.upf
Tb 158.93 Tb.upf
Zr 91.22 Zr.upf
Li 6.94 Li.upf
ATOMIC_POSITIONS crystal
Rh 0.0000 0.0000 0.0000
Tb 0.7500 0.7500 0.7500
Zr 0.2500 0.2500 0.2500
Li 0.5000 0.5000 0.5000
CELL_PARAMETERS angstrom
4.8097 0.0000 0.0000
2.4048 4.1653 0.0000
2.4048 1.3884 3.9271
```

=====

Record 20
! PBE-GGA LiTc2Rh, relaxed; values from VASP
! Excess energy over the best structure of this formula in the dataset in eV per formula unit: 0.12
&SYSTEM
  ibrav = 0, nat = 4, ntyp = 3
/
ATOMIC_SPECIES
Li 6.94 Li.upf
Rh 102.91 Rh.upf
Tc 98.00 Tc.upf
ATOMIC_POSITIONS crystal
Li 0.5000 0.2500 0.2500
Rh 0.5000 0.7500 0.7500
Tc 0.0000 0.9795 0.0203
Tc 0.0000 0.5205 0.4797
CELL_PARAMETERS angstrom
4.0830 0.0000 0.0000
0.0000 2.7034 0.0170
0.0000 2.6697 5.0043

=====

Record order is preserved below.
Total moment: 0.000; 0.000; 0.000; 0.368; 0.556; 0.000; 0.000; 0.000; 0.000; 0.000; 0.000; 0.000; 0.000; 0.000; 0.000; 0.167; 0.000; 0.000; 0.000; 0.000 μB/atom
Record order is preserved below.
Calculated volume: 15.4; 15.4; 13.4; 17.2; 23.6; 17.1; 21.6; 16.6; 16.7; 20.1; 20.0; 18.9; 21.0; 16.7; 30.7; 18.2; 20.9; 21.5; 19.7; 13.8 Å³ per atom
Record order is preserved below.
Formation energy: -0.018; 0.003; 0.359; 0.964; 1.522; -0.551; -0.671; -0.328; -0.440; -0.631; -0.663; -0.694; -0.636; -0.471; -0.008; -0.267; -0.502; -0.470; -0.338; 0.073 eV/atom